The following is a DFT calculation (PBE) of a geometry-optimized Zr3Zn structure.

Unit cell a=3.175 b=3.943 c=6.647 alpha=90.00 beta=90.00 gamma=90.00
Positions (direct):
Zr  0.000  0.000  0.000
Zr  0.500  0.500  0.265
Zr  0.500  0.500  0.735
Zn  0.000  0.000  0.500

Calculated values
As for the formation energy from the elements: -104 meV per atom. Its crystal system is orthorhombic.

***

The following is a DFT calculation (PBE) of a geometry-optimized GdPa3C structure.

Unit cell a=4.881 b=4.881 c=4.881 alpha=90.00 beta=90.00 gamma=90.00
Positions (direct):
Gd  0.000  0.000  0.000
Pa  0.000  0.500  0.500
Pa  0.500  0.000  0.500
Pa  0.500  0.500  0.000
C  0.500  0.500  0.500

Calculated values
As for the formation energy from the elements: -57 meV per atom. Its crystal system is cubic.

***

The following is a DFT calculation (PBE) of a geometry-optimized NaCoBi2Br structure.

Unit cell a=5.572 b=5.572 c=5.057 alpha=90.00 beta=90.00 gamma=90.00
Positions (direct):
Na  0.000  0.000  0.000
Co  0.500  0.500  0.500
Bi  0.000  0.500  0.000
Bi  0.500  0.000  0.000
Br  0.000  0.000  0.500

Calculated values
Its crystal system is tetragonal. Its uncorrected formation energy is 992 meV per atom.

***

The following is a DFT calculation (PBE) of a geometry-optimized InSn2F6 structure.

Unit cell a=7.967 b=7.967 c=4.982 alpha=97.65 beta=97.65 gamma=98.69
Positions (direct):
In  0.118  0.882  0.750
In  0.882  0.118  0.250
Sn  0.209  0.461  0.881
Sn  0.461  0.209  0.381
Sn  0.539  0.791  0.619
Sn  0.791  0.539  0.119
F  0.040  0.667  0.013
F  0.133  0.257  0.535
F  0.173  0.617  0.556
F  0.257  0.133  0.035
F  0.333  0.960  0.487
F  0.383  0.827  0.944
F  0.617  0.173  0.056
F  0.667  0.040  0.513
F  0.743  0.867  0.965
F  0.827  0.383  0.444
F  0.867  0.743  0.465
F  0.960  0.333  0.987

Calculated values
Its polymorph energy (0 for the lowest one) is 0.29 eV/f.u. Its crystal system is monoclinic. Its uncorrected formation energy is -2138 meV per atom.